Record 1
# PBE Mg2CdHg5, optimized geometry
data_Mg2CdHg5
_chemical_formula_sum 'Mg8 Cd4 Hg20'
_cell_length_a 5.113
_cell_length_b 10.923
_cell_length_c 14.010
_cell_angle_alpha 90.00
_cell_angle_beta 90.00
_cell_angle_gamma 90.00
_space_group_name_H-M_alt 'C m c m'
_space_group_IT_number 63
_space_group_name_Hall '-C 2c 2'
loop_
_atom_site_label
_atom_site_fract_x
_atom_site_fract_y
_atom_site_fract_z
Mg1 0.000 0.202 0.129
Cd1 0.000 0.295 0.750
Hg1 0.000 0.068 0.607
Hg2 0.000 0.367 0.535
Hg3 0.000 0.430 0.250
# energy above the most stable polymorph in this dataset: 35.3 meV/atom
# crystal system: orthorhombic

Record 2
# PBE Mg2Cd7Hg2, optimized geometry
data_Mg2Cd7Hg2
_chemical_formula_sum 'Mg4 Cd14 Hg4'
_cell_length_a 6.149
_cell_length_b 10.752
_cell_length_c 7.969
_cell_angle_alpha 90.00
_cell_angle_beta 97.88
_cell_angle_gamma 90.00
_space_group_name_H-M_alt 'C 1 2/m 1'
_space_group_IT_number 12
loop_
_space_group_symop_operation_xyz
'x,y,z'
'-x,-y,-z'
'-x,y,-z'
'x,-y,z'
'x+1/2,y+1/2,z'
'-x+1/2,-y+1/2,-z'
'-x+1/2,y+1/2,-z'
'x+1/2,-y+1/2,z'
loop_
_atom_site_label
_atom_site_fract_x
_atom_site_fract_y
_atom_site_fract_z
Mg1 0.000 0.218 0.000
Cd1 0.000 0.500 0.500
Cd2 0.165 0.500 0.887
Cd3 0.179 0.268 0.670
Hg1 0.103 0.000 0.730
# energy above the most stable polymorph in this dataset: 7.7 meV/atom
# crystal system: monoclinic

Record 3
# PBE MgCd3Hg8, optimized geometry
data_MgCd3Hg8
_chemical_formula_sum 'Mg2 Cd6 Hg16'
_cell_length_a 15.010
_cell_length_b 5.446
_cell_length_c 7.888
_cell_angle_alpha 90.00
_cell_angle_beta 110.76
_cell_angle_gamma 90.00
_space_group_name_H-M_alt 'C 1 m 1'
_space_group_IT_number 8
loop_
_space_group_symop_operation_xyz
'x,y,z'
'x,-y,z'
'x+1/2,y+1/2,z'
'x+1/2,-y+1/2,z'
loop_
_atom_site_label
_atom_site_fract_x
_atom_site_fract_y
_atom_site_fract_z
Mg1 0.000 0.000 0.000
Cd1 0.088 0.500 0.939
Cd2 0.356 0.500 0.192
Cd3 0.433 0.000 0.104
Hg1 0.012 0.500 0.521
Hg2 0.091 0.000 0.405
Hg3 0.153 0.000 0.834
Hg4 0.187 0.500 0.354
Hg5 0.254 0.500 0.784
Hg6 0.268 0.000 0.253
Hg7 0.333 0.000 0.688
Hg8 0.420 0.500 0.601
# crystal system: monoclinic
# raw total energy: -0.041 Ry per atom

Record 4
# PBE Mg4CdHg2, optimized geometry
data_Mg4CdHg2
_chemical_formula_sum 'Mg8 Cd2 Hg4'
_cell_length_a 7.397
_cell_length_b 6.288
_cell_length_c 7.754
_cell_angle_alpha 90.00
_cell_angle_beta 118.14
_cell_angle_gamma 90.00
_space_group_name_H-M_alt 'P 1 21/m 1'
_space_group_IT_number 11
loop_
_space_group_symop_operation_xyz
'x,y,z'
'-x,-y,-z'
'-x,y+1/2,-z'
'x,-y+1/2,z'
loop_
_atom_site_label
_atom_site_fract_x
_atom_site_fract_y
_atom_site_fract_z
Mg1 0.001 0.250 0.008
Mg2 0.171 0.004 0.740
Mg3 0.287 0.750 0.424
Cd1 0.432 0.250 0.166
Hg1 0.221 0.250 0.430
Hg2 0.425 0.750 0.131
# energy above the most stable polymorph in this dataset: 57.0 meV/atom
# crystal system: monoclinic

Record 5
# PBE Mg4Cd7Hg, optimized geometry
data_Mg4Cd7Hg
_chemical_formula_sum 'Mg4 Cd7 Hg1'
_cell_length_a 5.932
_cell_length_b 6.228
_cell_length_c 8.009
_cell_angle_alpha 70.63
_cell_angle_beta 83.96
_cell_angle_gamma 78.24
_space_group_name_H-M_alt 'P -1'
_space_group_IT_number 2
loop_
_space_group_symop_operation_xyz
'x,y,z'
'-x,-y,-z'
loop_
_atom_site_label
_atom_site_fract_x
_atom_site_fract_y
_atom_site_fract_z
Mg1 0.117 0.170 0.306
Mg2 0.316 0.647 0.283
Cd1 0.000 0.000 0.000
Cd2 0.186 0.307 0.636
Cd3 0.251 0.504 0.953
Cd4 0.382 0.807 0.599
Hg1 0.500 0.000 0.000
# crystal system: triclinic
# raw total energy: -0.083 Ry per atom

Record 6
# PBE Mg2Cd12Hg5, optimized geometry
data_Mg2Cd12Hg5
_chemical_formula_sum 'Mg4 Cd24 Hg10'
_cell_length_a 12.079
_cell_length_b 9.871
_cell_length_c 7.896
_cell_angle_alpha 90.00
_cell_angle_beta 105.60
_cell_angle_gamma 90.00
_space_group_name_H-M_alt 'C 1 2/m 1'
_space_group_IT_number 12
loop_
_space_group_symop_operation_xyz
'x,y,z'
'-x,-y,-z'
'-x,y,-z'
'x,-y,z'
'x+1/2,y+1/2,z'
'-x+1/2,-y+1/2,-z'
'-x+1/2,y+1/2,-z'
'x+1/2,-y+1/2,z'
loop_
_atom_site_label
_atom_site_fract_x
_atom_site_fract_y
_atom_site_fract_z
Mg1 0.000 0.223 0.000
Cd1 0.054 0.000 0.710
Cd2 0.088 0.500 0.904
Cd3 0.115 0.224 0.413
Cd4 0.193 0.251 0.805
Hg1 0.000 0.500 0.500
Hg2 0.162 0.000 0.144
Hg3 0.194 0.500 0.315
# energy above the most stable polymorph in this dataset: 0.0 meV/atom
# crystal system: monoclinic

Record 7
# PBE Mg2CdHg, optimized geometry
data_Mg2CdHg
_chemical_formula_sum 'Mg8 Cd4 Hg4'
_cell_length_a 6.993
_cell_length_b 6.993
_cell_length_c 6.993
_cell_angle_alpha 90.00
_cell_angle_beta 90.00
_cell_angle_gamma 90.00
_space_group_name_H-M_alt 'F m -3 m'
_space_group_IT_number 225
_space_group_name_Hall '-F 4 2 3'
loop_
_atom_site_label
_atom_site_fract_x
_atom_site_fract_y
_atom_site_fract_z
Mg1 0.250 0.250 0.250
Cd1 0.000 0.000 0.000
Hg1 0.000 0.000 0.500
# energy above the most stable polymorph in this dataset: 11.5 meV/atom
# crystal system: cubic

Record 8
# PBE Mg2CdHg8, optimized geometry
data_Mg2CdHg8
_chemical_formula_sum 'Mg4 Cd2 Hg16'
_cell_length_a 15.080
_cell_length_b 6.522
_cell_length_c 5.619
_cell_angle_alpha 90.00
_cell_angle_beta 92.09
_cell_angle_gamma 90.00
_space_group_name_H-M_alt 'C 1 2/m 1'
_space_group_IT_number 12
loop_
_space_group_symop_operation_xyz
'x,y,z'
'-x,-y,-z'
'-x,y,-z'
'x,-y,z'
'x+1/2,y+1/2,z'
'-x+1/2,-y+1/2,-z'
'-x+1/2,y+1/2,-z'
'x+1/2,-y+1/2,z'
loop_
_atom_site_label
_atom_site_fract_x
_atom_site_fract_y
_atom_site_fract_z
Mg1 0.242 0.000 0.113
Cd1 0.000 0.500 0.500
Hg1 0.093 0.253 0.917
Hg2 0.096 0.000 0.433
Hg3 0.198 0.500 0.386
# energy above the most stable polymorph in this dataset: 2.5 meV/atom
# crystal system: monoclinic

Record 9
# PBE Mg2Cd12Hg5, optimized geometry
data_Mg2Cd12Hg5
_chemical_formula_sum 'Mg4 Cd24 Hg10'
_cell_length_a 14.168
_cell_length_b 7.770
_cell_length_c 8.325
_cell_angle_alpha 90.00
_cell_angle_beta 90.23
_cell_angle_gamma 90.00
_space_group_name_H-M_alt 'C 1 2/m 1'
_space_group_IT_number 12
loop_
_space_group_symop_operation_xyz
'x,y,z'
'-x,-y,-z'
'-x,y,-z'
'x,-y,z'
'x+1/2,y+1/2,z'
'-x+1/2,-y+1/2,-z'
'-x+1/2,y+1/2,-z'
'x+1/2,-y+1/2,z'
loop_
_atom_site_label
_atom_site_fract_x
_atom_site_fract_y
_atom_site_fract_z
Mg1 0.000 0.243 0.000
Cd1 0.061 0.500 0.325
Cd2 0.109 0.284 0.659
Cd3 0.152 0.000 0.895
Cd4 0.178 0.197 0.225
Hg1 0.000 0.000 0.500
Hg2 0.152 0.500 0.969
Hg3 0.240 0.000 0.530
# energy above the most stable polymorph in this dataset: 6.6 meV/atom
# crystal system: monoclinic

Record 10
# PBE MgCd2Hg5, optimized geometry
data_MgCd2Hg5
_chemical_formula_sum 'Mg4 Cd8 Hg20'
_cell_length_a 7.673
_cell_length_b 7.673
_cell_length_c 13.370
_cell_angle_alpha 90.00
_cell_angle_beta 90.00
_cell_angle_gamma 90.00
_space_group_name_H-M_alt 'I 4/m c m'
_space_group_IT_number 140
_space_group_name_Hall '-I 4 2c'
loop_
_atom_site_label
_atom_site_fract_x
_atom_site_fract_y
_atom_site_fract_z
Mg1 0.000 0.000 0.250
Cd1 0.138 0.362 0.000
Hg1 0.000 0.000 0.000
Hg2 0.158 0.342 0.337
# crystal system: tetragonal
# raw total energy: -0.046 Ry per atom